Crystalline Li6SmPt6 at its relaxed geometry. Source: Alexandria, functional PBE.

Output
total magnetization	0.00	Bohr magnetons per cell
Fermi-level density of states	0.45	states/eV per atom
raw total energy	-4.703	eV/atom

abc: 5.363 6.807 6.807
angles: 77.06 66.80 66.80
Fractional coordinates of all 13 atoms:
Li (0.000, 0.658, 0.342)
Li (0.705, 0.795, 0.795)
Li (0.355, 0.645, 0.645)
Li (0.645, 0.355, 0.355)
Li (0.295, 0.205, 0.205)
Li (0.000, 0.342, 0.658)
Sm (0.000, 0.000, 0.000)
Pt (0.000, 0.500, 0.000)
Pt (0.500, 0.500, 0.000)
Pt (0.500, 0.783, 0.217)
Pt (0.500, 0.217, 0.783)
Pt (0.500, 0.000, 0.500)
Pt (0.000, 0.000, 0.500)

=====

Crystalline LiSm2Pt4 at its relaxed geometry. Source: Alexandria, functional PBE.

Output
total magnetization	0.00	Bohr magnetons per cell
Fermi-level density of states	0.25	states/eV per atom
raw total energy	-5.841	eV/atom

abc: 6.074 6.074 5.938
angles: 120.81 120.81 89.92
Fractional coordinates of all 7 atoms:
Sm (0.750, 0.250, 0.500)
Sm (0.250, 0.750, 0.500)
Pt (0.722, 0.278, 0.000)
Pt (0.723, 0.723, 0.000)
Pt (0.278, 0.722, 0.000)
Pt (0.277, 0.277, 0.000)
Li (0.000, 0.000, 0.000)

=====

Crystalline LiSm6Pt5 at its relaxed geometry. Source: Alexandria, functional PBE.

Output
total magnetization	0.00	Bohr magnetons per cell
Fermi-level density of states	0.81	states/eV per atom
raw total energy	-5.987	eV/atom

abc: 4.999 8.869 8.869
angles: 120.95 106.37 106.37
Fractional coordinates of all 12 atoms:
Pt (0.500, 0.500, 0.500)
Pt (0.000, 0.325, 0.675)
Pt (0.000, 0.675, 0.325)
Pt (0.500, 0.853, 0.147)
Pt (0.500, 0.147, 0.853)
Li (0.000, 0.000, 0.000)
Sm (0.745, 0.915, 0.575)
Sm (0.255, 0.085, 0.425)
Sm (0.763, 0.263, 0.263)
Sm (0.255, 0.425, 0.085)
Sm (0.745, 0.575, 0.915)
Sm (0.237, 0.737, 0.737)

=====

> Which of these has the highest raw total energy?

Li6SmPt6